# 1
Density functional theory data (PBE) for a relaxed structure of CdGa4Ag6.

The magnetization comes out at 0.00 μB per formula unit. The calculation puts the formation energy at 0.019 eV/atom. The value obtained for the volume is 811.64 Å³ per cell.

The space group is C2/c (No. 15) and the conventional cell measures 6.255, 7.755 and 16.750 Å, with angles of 90.00, 92.51 and 90.00 degrees. Symmetry generates all atoms from Cd at (0.000, 0.242, 0.250), Ga at (0.086, 0.346, 0.449), Ga at (0.240, 0.458, 0.629), Ag at (0.000, 0.000, 0.000), Ag at (0.000, 0.384, 0.750), Ag at (0.139, 0.078, 0.674) and Ag at (0.171, 0.299, 0.914).

# 2
Density functional theory data (PBE) for a relaxed structure of CeZrFeTc.

The magnetization comes out at 0.77 μB per formula unit. The calculation puts the formation energy at -0.050 eV/atom. The value obtained for the volume is 295.07 Å³ per cell.

The space group is F-43m (No. 216) and the conventional cell measures 6.657, 6.657 and 6.657 Å, with angles of 90.00, 90.00 and 90.00 degrees. Symmetry generates all atoms from Ce at (0.000, 0.000, 0.000), Zr at (0.000, 0.000, 0.500), Fe at (0.250, 0.250, 0.750) and Tc at (0.250, 0.250, 0.250).

- What is the formula in the first record?
  CdGa4Ag6

- formation energy of number 2 (CeZrFeTc)?
  -0.050 eV/atom